Below is crystalline Ti3P4NO18 at its relaxed geometry, with properties calculated at the PBE level.

Lattice parameters (Å, degrees): 5.165 8.424 8.760 107.07 96.10 91.34
Last column: magnetic moment on the atom in μB.
Sites, in units of the cell vectors:
O (0.269, 0.838, 0.020)  1.16
O (0.934, 0.760, 0.311)  0.05
O (0.155, 0.186, 0.175)  0.14
O (0.226, 0.068, 0.862)  0.14
O (0.587, 0.716, 0.554)  0.04
O (0.413, 0.284, 0.446)  0.04
O (0.774, 0.932, 0.138)  0.14
O (0.749, 0.506, 0.691)  0.01
O (0.066, 0.240, 0.689)  0.05
O (0.248, 0.961, 0.562)  0.03
O (0.451, 0.799, 0.271)  0.14
O (0.731, 0.162, 0.980)  1.16
O (0.251, 0.494, 0.309)  0.01
O (0.932, 0.332, 0.413)  0.02
O (0.752, 0.039, 0.438)  0.03
O (0.068, 0.668, 0.587)  0.02
O (0.549, 0.201, 0.729)  0.14
O (0.845, 0.814, 0.825)  0.14
Ti (0.000, 0.000, 0.000)  -0.18
Ti (0.254, 0.731, 0.432)  0.00
Ti (0.746, 0.269, 0.568)  0.00
P (0.189, 0.327, 0.339)  0.00
P (0.811, 0.673, 0.661)  0.00
P (0.272, 0.116, 0.708)  0.00
P (0.728, 0.884, 0.292)  0.00
N (0.000, 0.500, 0.000)  1.91

Summary:
SG = P-1
V = 362 Å³/cell
Uncorrected energy = -7.351 eV/atom
Energy relative to the elements, uncorrected = -42.78 kcal/mol of atoms
Crystal system = triclinic